[1]
Material: LiZn3
Method: DFT, meta-GGA SCAN
State: single point on PBEsol structure

It has space group P-6m2 (No. 187), with a = 2.7102 Å, b = 2.7102 Å, c = 8.7751 Å, α = 90.00°, β = 90.00° and γ = 120.00°. Symmetry generates all atoms from Li at (0.0000, 0.0000, 0.0000), Zn at (0.0000, 0.0000, 0.5000) and Zn at (0.3333, 0.6667, 0.2483).

The value obtained for the density of states at the Fermi level is 0.8 states/eV/f.u. As for the crystal system: hexagonal. Its raw total energy is -10.83 eV per atom.



[2]
Material: Ge2Ru2O
Method: DFT, meta-GGA SCAN
State: single point on PBEsol structure

It has space group I4/mmm (No. 139), with a = 3.529 Å, b = 3.529 Å, c = 11.734 Å, α = 90.00°, β = 90.00° and γ = 90.00°. Symmetry generates all atoms from Ge at (0.000, 0.500, 0.250), Ru at (0.000, 0.000, 0.107) and O at (0.000, 0.000, 0.500).

For the uncorrected formation energy, the calculation gives 0.45 eV/atom. The value obtained for the density of states at the Fermi level is 3.1 states/eV/f.u. As for the crystal system: tetragonal.



[3]
Material: Cr2TcSb
Method: DFT, meta-GGA SCAN
State: single point on PBEsol structure

It has space group R-3m (No. 166, hexagonal axes), with a = 2.9567 Å, b = 2.9567 Å, c = 23.6909 Å, α = 90.00°, β = 90.00° and γ = 120.00°. Symmetry generates all atoms from Cr at (0.0000, 0.0000, 0.2422), Tc at (0.0000, 0.0000, 0.5000) and Sb at (0.0000, 0.0000, 0.0000).

For the uncorrected formation energy, the calculation gives 0.47 eV/atom. The value obtained for the density of states at the Fermi level is 3.0 states/eV/f.u. As for the crystal system: trigonal.



[4]
Material: ScSnSe3
Method: DFT, meta-GGA SCAN
State: single point on PBEsol structure

It has space group Pm-3m (No. 221), with a = 5.130 Å, b = 5.130 Å, c = 5.130 Å, α = 90.00°, β = 90.00° and γ = 90.00°. Symmetry generates all atoms from Sc at (0.000, 0.000, 0.000), Sn at (0.500, 0.500, 0.500) and Se at (0.000, 0.500, 0.500).

For the uncorrected formation energy, the calculation gives -0.07 eV/atom. The value obtained for the density of states at the Fermi level is 2.7 states/eV/f.u. As for the crystal system: cubic.



[5]
Material: TcIr3
Method: DFT, meta-GGA SCAN
State: single point on PBEsol structure

It has space group Pmmn (No. 59, origin choice 2), with a = 5.418 Å, b = 13.199 Å, c = 4.698 Å, α = 90.00°, β = 90.00° and γ = 90.00°. Symmetry generates all atoms from Tc at (0.250, 0.085, 0.170), Tc at (0.250, 0.750, 0.499), Ir at (0.000, 0.083, 0.668), Ir at (0.001, 0.750, 0.001), Ir at (0.250, 0.250, 0.495) and Ir at (0.250, 0.585, 0.832).

The value obtained for the density of states at the Fermi level is 3.8 states/eV/f.u. As for the crystal system: orthorhombic. Its raw total energy is -62.26 eV per atom.



[6]
Material: POsBrO2
Method: DFT, meta-GGA SCAN
State: single point on PBEsol structure

It has space group P4/mmm (No. 123), with a = 3.606 Å, b = 3.606 Å, c = 5.717 Å, α = 90.00°, β = 90.00° and γ = 90.00°. Symmetry generates all atoms from P at (0.000, 0.000, 0.000), Os at (0.500, 0.500, 0.000), Br at (0.000, 0.000, 0.500) and O at (0.000, 0.500, 0.500).

For the uncorrected formation energy, the calculation gives 1.21 eV/atom. The value obtained for the density of states at the Fermi level is 1.4 states/eV/f.u. As for the crystal system: tetragonal.